1.
## La8Tb6Cd (PBE)

Data for a relaxed La8Tb6Cd crystal.

Space group: P-3
Magnetization (μB/f.u.): 0.0
Formation energy from the elements (meV per atom): 88

Unit cell a=6.671 b=9.418 c=9.418 alpha=120.00 beta=90.00 gamma=90.00
Sites, in units of the cell vectors:
Tb  0.342  0.346  0.900
Tb  0.658  0.446  0.346
Tb  0.658  0.654  0.100
Tb  0.658  0.900  0.554
Tb  0.342  0.100  0.446
Tb  0.342  0.554  0.654
La  0.868  0.333  0.667
La  0.825  0.047  0.278
La  0.132  0.667  0.333
La  0.175  0.769  0.047
La  0.175  0.278  0.231
La  0.825  0.722  0.769
La  0.175  0.953  0.722
La  0.825  0.231  0.953
Cd  0.500  0.000  0.000

---

2.
## Pm2AgIr (PBE)

Data for a relaxed Pm2AgIr crystal.

Energy above the most stable polymorph in this dataset (eV/atom): 0.045
Space group: R3m
Magnetization (μB/f.u.): 0.0
Formation energy from the elements (meV per atom): -433

Unit cell a=4.180 b=4.180 c=7.694 alpha=74.24 beta=74.24 gamma=60.00
Sites, in units of the cell vectors:
Ir  0.665  0.665  0.004
Ag  0.502  0.502  0.495
Pm  0.069  0.069  0.794
Pm  0.264  0.264  0.207

---

3.
## LiYZrSn2 (PBE)

Data for a relaxed LiYZrSn2 crystal.

Space group: P4/mmm
Magnetization (μB/f.u.): 0.0
Formation energy from the elements (meV per atom): 166

Unit cell a=4.861 b=4.949 c=4.861 alpha=90.00 beta=90.00 gamma=90.00
Sites, in units of the cell vectors:
Y  0.000  0.500  0.000
Sn  0.000  0.000  0.500
Sn  0.500  0.000  0.000
Li  0.000  0.000  0.000
Zr  0.500  0.500  0.500

---

4.
## Na5Hg2Te4 (PBE)

Data for a relaxed Na5Hg2Te4 crystal.

Energy above the most stable polymorph in this dataset (eV/atom): 0.000
Raw formation energy (eV/atom): -0.60
Space group: C2/m
Magnetization (μB/f.u.): 0.0

Unit cell a=4.809 b=8.691 c=8.984 alpha=93.38 beta=105.52 gamma=90.00
Sites, in units of the cell vectors:
Te  0.045  0.233  0.089
Te  0.300  0.256  0.601
Te  0.955  0.767  0.911
Te  0.700  0.744  0.399
Hg  0.537  0.650  0.075
Hg  0.463  0.350  0.925
Na  0.836  0.039  0.672
Na  0.500  0.000  0.000
Na  0.164  0.961  0.328
Na  0.167  0.509  0.334
Na  0.833  0.491  0.666